<A>
VASP calculation (SCAN) on ZrBeTl2 at its PBEsol-relaxed geometry.

a = 4.879 Å, b = 4.879 Å, c = 4.879 Å
α = 60.00°, β = 60.00°, γ = 60.00°
Positions (direct):
Zr (0.000, 0.000, 0.000)
Be (0.500, 0.500, 0.500)
Tl (0.250, 0.250, 0.250)
Tl (0.750, 0.750, 0.750)

---

<B>
VASP calculation (SCAN) on ZrBeTl2 at its PBEsol-relaxed geometry.

a = 9.296 Å, b = 9.296 Å, c = 9.296 Å
α = 19.81°, β = 19.81°, γ = 19.81°
Positions (direct):
Zr (0.000, 0.000, 0.000)
Be (0.500, 0.500, 0.500)
Tl (0.239, 0.239, 0.239)
Tl (0.761, 0.761, 0.761)

---

Computed stability ranking, most favorable first: <B>, <A>